Material: PbAu2
Method: DFT, PBEsol
State: optimized geometry

Structure (POSCAR):
```
PbAu2
1.0
-2.9441 1.9337 -0.0865
-2.6523 -4.0410 -0.0604
1.2727 -0.9448 7.3212
Au Pb
4 2
direct
0.4341 0.7500 0.8682
0.5659 0.2500 0.1318
0.2239 0.2500 0.4479
0.7761 0.7500 0.5521
0.8952 0.2500 0.7904
0.1048 0.7500 0.2096
```

As for the calculated density: 16.099 g cm⁻³. The value obtained for the energy of formation is 1.3 kcal/mol of atoms. The calculation puts the volume at 20.7 Å³/atom. As for the total DFT energy (no corrections): -3.893 eV/atom. For the density of states at the Fermi level, the calculation gives 1.10 states/eV/f.u.